Entry 1:
Below is a relaxed structure of Tl2MoOs, with properties calculated at the PBE-GGA level.

Results
As for the total magnetization: 0.0 Bohr magnetons per cell. The value obtained for the total energy is -48.24 eV per cell. As for the formation energy: 669 meV/atom.

a = 7.299 Å, b = 4.213 Å, c = 6.809 Å
α = 90.00°, β = 90.18°, γ = 90.00°
Space group Cm (No. 8)
Inequivalent atoms, fractional coordinates:
Tl 0.000 0.000 0.000 (multiplicity 2)
Tl 0.001 0.000 0.569 (multiplicity 2)
Mo 0.167 0.500 0.300 (multiplicity 2)
Os 0.334 0.000 0.260 (multiplicity 2)

---

Entry 2:
Below is a relaxed structure of AlAs3, with properties calculated at the PBE-GGA level.

Results
As for the total magnetization: 0.0 Bohr magnetons per cell. The value obtained for the total energy is -65.90 eV per cell. As for the formation energy: 304 meV/atom.

a = 6.662 Å, b = 6.662 Å, c = 6.662 Å
α = 90.00°, β = 90.00°, γ = 90.00°
Space group Fm-3m (No. 225)
Inequivalent atoms, fractional coordinates:
Al 0.000 0.000 0.000 (multiplicity 4)
As 0.000 0.000 0.500 (multiplicity 4)
As 0.250 0.250 0.250 (multiplicity 8)

---

Entry 3:
Below is a relaxed structure of LaBe2Bi2, with properties calculated at the PBE-GGA level.

Results
As for the total magnetization: 0.0 Bohr magnetons per cell. The value obtained for the total energy is -40.24 eV per cell. As for the formation energy: 4 meV/atom.

a = 4.087 Å, b = 4.087 Å, c = 14.142 Å
α = 90.00°, β = 90.00°, γ = 90.00°
Space group I4/mmm (No. 139)
Inequivalent atoms, fractional coordinates:
La 0.000 0.000 0.000 (multiplicity 2)
Be 0.000 0.500 0.250 (multiplicity 4)
Bi 0.000 0.000 0.367 (multiplicity 4)

---

Entry 4:
Below is a relaxed structure of Ti2BeAl2, with properties calculated at the PBE-GGA level.

Results
As for the total magnetization: 0.0 Bohr magnetons per cell. The value obtained for the total energy is -55.44 eV per cell. As for the formation energy: -144 meV/atom.

a = 6.132 Å, b = 6.132 Å, c = 4.109 Å
α = 90.00°, β = 90.00°, γ = 90.00°
Space group P4/mbm (No. 127)
Inequivalent atoms, fractional coordinates:
Ti 0.162 0.338 0.000 (multiplicity 4)
Be 0.000 0.000 0.500 (multiplicity 2)
Al 0.145 0.645 0.500 (multiplicity 4)

---

Entry 5:
Below is a relaxed structure of Na4YTm3S8, with properties calculated at the PBE-GGA level.

Results
The formation energy from raw total energies is -42.8 kcal/mol of atoms. As for the total magnetization: 0.0 Bohr magnetons per cell. The value obtained for the total energy is -263.54 eV per cell.

a = 7.8907 Å, b = 7.8907 Å, c = 20.0283 Å
α = 90.00°, β = 90.00°, γ = 120.00°
Space group R-3m (No. 166, hexagonal axes)
Inequivalent atoms, fractional coordinates:
Na 0.0000 0.0000 0.0000 (multiplicity 3)
Na 0.0000 0.5000 0.0000 (multiplicity 9)
Y 0.0000 0.0000 0.5000 (multiplicity 3)
Tm 0.0000 0.5000 0.5000 (multiplicity 9)
S 0.0000 0.0000 0.2412 (multiplicity 6)
S 0.0031 0.5016 0.7583 (multiplicity 18)

---

Entry 6:
Below is a relaxed structure of Sn2BiCl, with properties calculated at the PBE-GGA level.

Results
The formation energy from raw total energies is -3.0 kcal/mol of atoms. As for the total magnetization: 0.0 Bohr magnetons per cell. The value obtained for the total energy is -42.75 eV per cell.

a = 5.4407 Å, b = 5.4407 Å, c = 19.8571 Å
α = 90.00°, β = 90.00°, γ = 120.00°
Space group R-3m (No. 166, hexagonal axes)
Inequivalent atoms, fractional coordinates:
Sn 0.0000 0.0000 0.1335 (multiplicity 6)
Bi 0.0000 0.0000 0.5000 (multiplicity 3)
Cl 0.0000 0.0000 0.0000 (multiplicity 3)

---

Entry 7:
Below is a relaxed structure of TiP2SBr, with properties calculated at the PBE-GGA level.

Results
The formation energy from raw total energies is 3.5 kcal/mol of atoms. As for the total magnetization: 0.0 Bohr magnetons per cell. The value obtained for the total energy is -23.75 eV per cell.

a = 4.857 Å, b = 4.857 Å, c = 4.558 Å
α = 90.00°, β = 90.00°, γ = 90.00°
Space group P4/mmm (No. 123)
Inequivalent atoms, fractional coordinates:
Ti 0.000 0.000 0.000 (multiplicity 1)
P 0.000 0.500 0.000 (multiplicity 2)
S 0.000 0.000 0.500 (multiplicity 1)
Br 0.500 0.500 0.500 (multiplicity 1)

---

Entry 8:
Below is a relaxed structure of La6In2Sn, with properties calculated at the PBE-GGA level.

Results
As for the total magnetization: 0.0 Bohr magnetons per cell. The value obtained for the total energy is -41.48 eV per cell. As for the formation energy: -270 meV/atom.

a = 9.5765 Å, b = 9.5765 Å, c = 3.3502 Å
α = 90.00°, β = 90.00°, γ = 120.00°
Space group P6/mmm (No. 191)
Inequivalent atoms, fractional coordinates:
La 0.0000 0.3315 0.0000 (multiplicity 6)
In 0.3333 0.6667 0.5000 (multiplicity 2)
Sn 0.0000 0.0000 0.5000 (multiplicity 1)

---

Entry 9:
Below is a relaxed structure of ReNiCl2, with properties calculated at the PBE-GGA level.

Results
The formation energy from raw total energies is 16.0 kcal/mol of atoms. As for the total magnetization: 0.7 Bohr magnetons per cell. The value obtained for the total energy is -38.31 eV per cell.

a = 2.864 Å, b = 5.481 Å, c = 7.922 Å
α = 90.00°, β = 90.00°, γ = 90.00°
Space group Cmmm (No. 65)
Inequivalent atoms, fractional coordinates:
Re 0.000 0.000 0.000 (multiplicity 2)
Ni 0.000 0.000 0.500 (multiplicity 2)
Cl 0.000 0.500 0.254 (multiplicity 4)

---

Entry 10:
Below is a relaxed structure of Zr2AsOs, with properties calculated at the PBE-GGA level.

Results
As for the total magnetization: 0.0 Bohr magnetons per cell. The value obtained for the total energy is -34.54 eV per cell. As for the formation energy: -390 meV/atom.

a = 3.799 Å, b = 3.799 Å, c = 5.680 Å
α = 90.00°, β = 90.00°, γ = 90.00°
Space group P4mm (No. 99)
Inequivalent atoms, fractional coordinates:
Zr 0.000 0.000 0.000 (multiplicity 1)
Zr 0.500 0.500 0.366 (multiplicity 1)
As 0.000 0.000 0.500 (multiplicity 1)
Os 0.500 0.500 0.919 (multiplicity 1)

---

Entry 11:
Below is a relaxed structure of Sc5Al, with properties calculated at the PBE-GGA level.

Results
As for the total magnetization: 0.0 Bohr magnetons per cell. The value obtained for the total energy is -36.06 eV per cell. As for the formation energy: -111 meV/atom.

a = 5.5784 Å, b = 5.5784 Å, c = 5.0522 Å
α = 90.00°, β = 90.00°, γ = 120.00°
Space group P-62m (No. 189)
Inequivalent atoms, fractional coordinates:
Sc 0.0000 0.6851 0.0000 (multiplicity 3)
Sc 0.3333 0.6667 0.5000 (multiplicity 2)
Al 0.0000 0.0000 0.5000 (multiplicity 1)

---

Entry 12:
Below is a relaxed structure of Nd3NbO6, with properties calculated at the PBE-GGA level.

Results
The formation energy from raw total energies is -67.6 kcal/mol of atoms. As for the total magnetization: 0.0 Bohr magnetons per cell. The value obtained for the total energy is -333.67 eV per cell.

a = 9.460 Å, b = 11.482 Å, c = 5.778 Å
α = 90.00°, β = 90.00°, γ = 90.00°
Space group Cmc2_1 (No. 36)
Inequivalent atoms, fractional coordinates:
Nd 0.000 0.101 0.000 (multiplicity 4)
Nd 0.188 0.407 0.043 (multiplicity 8)
Nb 0.000 0.316 0.566 (multiplicity 4)
O 0.000 0.281 0.240 (multiplicity 4)
O 0.000 0.477 0.747 (multiplicity 4)
O 0.151 0.245 0.751 (multiplicity 8)
O 0.154 0.015 0.273 (multiplicity 8)

---

- Which formula does entry 9 have?
  ReNiCl2

---

- The highest total energy belongs to which entry?
  TiP2SBr

---

- total energy of number 1 (Tl2MoOs)?
  -48.24 eV per cell